Computed, not measured: a relaxed structure of Sc4TlIn at the PBE level of DFT.

Results
The crystal system is cubic. As for the space group: F-43m, No. 216. The calculation puts the density at 5627 kg/m³. As for the density of states at the Fermi level: 6.62 states/eV per cell. As for the total DFT energy (no corrections): -29.750 eV for the cell shown. The calculation puts the energy of formation at 0.1135 eV per atom. The calculation puts the distance to the lowest polymorph of the same formula at 162 meV/atom.

abc: 5.928 5.928 5.928
angles: 60.00 60.00 60.00
Positions (direct):
Sc 0.125 0.125 0.125
Sc 0.125 0.125 0.624
Sc 0.125 0.624 0.125
Sc 0.624 0.125 0.125
Tl 0.750 0.750 0.750
In 0.500 0.500 0.500